Compound: Er2MgZr
Source: the Alexandria database
Functional: PBE
Structure: relaxed

Geometry as POSCAR:
```
Er2MgZr
1.0
3.3744 0.0000 0.0000
1.6872 2.9223 0.0000
1.6872 0.9741 10.9510
Mg Zr Er
1 1 2
Cartesian
0.0000 0.0000 0.0000
3.3744 1.9482 5.4755
1.6872 0.9741 2.8358
5.0615 2.9223 8.1153
```

Properties
polymorph energy (0 for the lowest one)	1.27	kcal/mol of atoms
D(E_F)	4.7	states/eV/cell

Compound: MnBeAlCo
Source: the Alexandria database
Functional: PBE
Structure: relaxed

Geometry as POSCAR:
```
MnBeAlCo
1.0
3.9684 0.0000 0.0000
1.9842 3.4368 0.0000
1.9842 1.1456 3.2402
Mn Be Co Al
1 1 1 1
Cartesian
1.9842 1.1456 0.8101
3.9684 2.2912 1.6201
5.9526 3.4368 2.4302
0.0000 0.0000 0.0000
```

Properties
raw total energy	-24.7	eV/cell
D(E_F)	2.8	states/eV/cell

Compound: AcNdSn
Source: the Alexandria database
Functional: PBE
Structure: relaxed

Geometry as POSCAR:
```
AcNdSn
1.0
-2.4576 -4.1938 0.0568
2.9741 -1.6982 3.4501
-5.4791 3.2955 6.3487
Ac Sn Nd
2 2 2
Cartesian
-1.1761 -1.0381 3.0147
-2.5252 -3.0173 6.6309
-0.4054 -4.2923 4.1741
-3.2960 0.2369 5.4715
-5.9481 -1.0038 7.1489
-3.2323 0.2439 8.8455
```

Properties
polymorph energy (0 for the lowest one)	0.00	kcal/mol of atoms
D(E_F)	8.5	states/eV/cell

Compound: Tb2DyMg6
Source: the Alexandria database
Functional: PBE
Structure: relaxed

Geometry as POSCAR:
```
Tb2DyMg6
1.0
3.2890 -0.0003 0.0006
0.0002 7.8678 4.5249
-0.0014 0.0163 9.0762
Mg Tb Dy
6 2 1
Cartesian
1.6404 0.0111 6.0558
1.6442 5.2548 6.0398
1.6474 7.8727 7.5458
1.6436 2.6291 7.5618
1.6415 5.2490 3.0196
1.6463 2.6348 10.5821
3.2882 5.2559 9.0681
-0.0004 2.6279 4.5335
0.0000 0.0000 0.0000
```

Properties
raw total energy	-24.1	eV/cell
D(E_F)	4.3	states/eV/cell

Compound: LiReSi2
Source: the Alexandria database
Functional: PBE
Structure: relaxed

Geometry as POSCAR:
```
LiReSi2
1.0
4.3275 -0.0014 0.0048
3.3208 2.7749 0.0048
0.7816 0.2834 5.1088
Si Re Li
2 1 1
Cartesian
0.8544 0.3098 4.8019
4.1421 1.5021 2.8660
6.3224 2.2927 3.8388
2.1075 0.7642 1.2796
```

Properties
polymorph energy (0 for the lowest one)	2.36	kcal/mol of atoms
D(E_F)	1.9	states/eV/cell

Compound: MgHgRu2Pt
Source: the Alexandria database
Functional: PBE
Structure: relaxed

Geometry as POSCAR:
```
MgHgRu2Pt
1.0
4.9882 0.0000 0.0000
0.0000 5.0272 0.0000
0.0000 0.0000 4.9882
Ru Mg Hg Pt
2 1 1 1
Cartesian
2.4941 0.0000 0.0000
0.0000 0.0000 2.4941
2.4941 2.5136 2.4941
0.0000 0.0000 0.0000
0.0000 2.5136 0.0000
```

Properties
raw total energy	-18.0	eV/cell
D(E_F)	10.4	states/eV/cell

Compound: Sr3NiC
Source: the Alexandria database
Functional: PBE
Structure: relaxed

Geometry as POSCAR:
```
Sr3NiC
1.0
-4.7279 -0.9484 -2.2379
2.0389 -4.2120 -2.5224
-1.3231 -3.1016 4.1097
Sr C Ni
3 1 1
Cartesian
-2.3639 -0.4742 -1.1190
-0.6616 -1.5508 2.0549
1.0194 -2.1060 -1.2612
0.0000 0.0000 0.0000
-2.0061 -4.1310 -0.3253
```

Properties
polymorph energy (0 for the lowest one)	0.00	kcal/mol of atoms
D(E_F)	4.3	states/eV/cell

Compound: Cs3Ac3RuO8
Source: the Alexandria database
Functional: PBE
Structure: relaxed

Geometry as POSCAR:
```
Cs3Ac3RuO8
1.0
7.4380 0.0000 0.0000
-3.7190 6.4426 -0.0241
0.0000 -4.2703 6.9907
O Cs Ac Ru
8 3 3 1
Cartesian
-2.1196 3.3882 4.5550
0.0000 2.1554 2.2499
1.5994 -1.2160 2.4116
3.7190 2.4545 2.3974
2.1196 3.3882 4.5550
5.8385 -1.2160 2.4116
3.7190 0.0169 4.7167
0.0000 -0.2822 4.5692
1.8595 3.2213 -0.0120
0.0000 0.0000 0.0000
-1.8595 3.2213 -0.0120
-1.8595 1.0861 3.4833
3.7190 -2.1352 3.4953
1.8595 1.0861 3.4833
0.0000 -2.1352 3.4953
```

Properties
raw total energy	-95.6	eV/cell
D(E_F)	5.4	states/eV/cell